No. 1
Entry from the Open Quantum Materials Database: crystalline ErBiAs at its relaxed geometry (GGA-PBE).

Unit cell a=4.9354 b=4.9354 c=4.9354 alpha=60.00 beta=60.00 gamma=60.00
Atoms (fractional coordinates):
Er  0.7500  0.7500  0.7500
Bi  0.2500  0.2500  0.2500
As  0.0000  0.0000  0.0000

Properties
Relative energy among the computed polymorphs in meV per atom: 0
Theoretical density in g/cm3: 8.81

=====

No. 2
Entry from the Open Quantum Materials Database: crystalline ErBiAsO at its relaxed geometry (GGA-PBE).

Unit cell a=4.8355 b=4.8355 c=7.4139 alpha=90.00 beta=90.00 gamma=90.00
Atoms (fractional coordinates):
O  0.7500  0.2500  0.0000
As  0.2500  0.2500  0.6854
Er  0.7500  0.2500  0.5000
Bi  0.2500  0.2500  0.0779
Er  0.2500  0.7500  0.5000
As  0.7500  0.7500  0.3146
Bi  0.7500  0.7500  0.9221
O  0.2500  0.7500  0.0000

Properties
Relative energy among the computed polymorphs in meV per atom: 566
Theoretical density in g/cm3: 8.95

=====

No. 3
Entry from the Open Quantum Materials Database: crystalline ErBiAsO at its relaxed geometry (GGA-PBE).

Unit cell a=4.9008 b=6.4675 c=6.3970 alpha=90.00 beta=90.00 gamma=90.00
Atoms (fractional coordinates):
O  0.5000  0.6276  0.8825
As  0.0000  0.8116  0.3922
Bi  0.0000  0.7463  0.9290
Er  0.5000  0.3449  0.0504
Bi  0.0000  0.2537  0.4290
As  0.0000  0.1884  0.8922
Er  0.5000  0.6551  0.5504
O  0.5000  0.3724  0.3825

Properties
Relative energy among the computed polymorphs in meV per atom: 122
Theoretical density in g/cm3: 7.65

=====

No. 4
Entry from the Open Quantum Materials Database: crystalline ErBiAsO at its relaxed geometry (GGA-PBE).

Unit cell a=3.9060 b=8.3151 c=6.0693 alpha=90.00 beta=90.00 gamma=90.00
Atoms (fractional coordinates):
O  0.5000  0.7505  0.9337
As  0.0000  0.1854  0.9343
Bi  0.5000  0.5764  0.4531
Er  0.0000  0.1587  0.4329
Er  0.0000  0.8413  0.9329
As  0.0000  0.8146  0.4343
O  0.5000  0.2495  0.4337
Bi  0.5000  0.4236  0.9531

Properties
Relative energy among the computed polymorphs in meV per atom: 46
Theoretical density in g/cm3: 7.87

=====

no.,uncorrected energy (eV/atom)
1,-4.754
2,-5.328
3,-5.772
4,-5.848